A plane-wave DFT calculation with GGA-PBE was carried out for crystalline MgCrCd2 at its relaxed geometry.

Output
Formation enthalpy at 0 K   442.8 meV/atom
DOS(E_F)   0.60 states/eV/atom
Calculated volume   363.7 Å³ per cell
Total energy   -45.1 eV/cell

a = 4.239 Å, b = 4.239 Å, c = 20.241 Å
α = 90.00°, β = 90.00°, γ = 90.00°
Space group I-42d (No. 122)
Asymmetric unit:
Mg (0.000, 0.000, 0.000) x4
Cr (0.000, 0.000, 0.500) x4
Cd (0.242, 0.250, 0.625) x8

A plane-wave DFT calculation with GGA-PBE was carried out for crystalline Rb2CeNpS6 at its relaxed geometry.

Output
DOS(E_F)   0.11 states/eV/atom
Calculated volume   578.8 Å³ per cell
Raw formation energy   -1319 meV per atom
Total energy   -117.5 eV/cell

a = 7.425 Å, b = 7.424 Å, c = 12.857 Å
α = 90.00°, β = 125.25°, γ = 90.00°
Space group P2_1/c (No. 14)
Asymmetric unit:
Rb (0.250, 0.000, 0.250) x4
Ce (0.000, 0.000, 0.500) x2
Np (0.500, 0.000, 0.000) x2
S (0.254, 0.241, 0.998) x4
S (0.257, 0.744, 0.498) x4
S (0.261, 0.000, 0.758) x4

A plane-wave DFT calculation with GGA-PBE was carried out for crystalline Y4AsPb at its relaxed geometry.

Output
Formation enthalpy at 0 K   147.0 meV/atom
DOS(E_F)   0.98 states/eV/atom
Calculated volume   693.2 Å³ per cell
Total energy   -133.3 eV/cell

a = 8.850 Å, b = 8.850 Å, c = 8.850 Å
α = 90.00°, β = 90.00°, γ = 90.00°
Space group F-43m (No. 216)
Asymmetric unit:
Y (0.125, 0.125, 0.125) x16
As (0.250, 0.250, 0.750) x4
Pb (0.000, 0.000, 0.500) x4

A plane-wave DFT calculation with GGA-PBE was carried out for crystalline GdHo3Tc at its relaxed geometry.

Output
Formation enthalpy at 0 K   118.0 meV/atom
DOS(E_F)   1.87 states/eV/atom
Calculated volume   154.4 Å³ per cell
Total energy   -37.6 eV/cell

a = 5.364 Å, b = 5.364 Å, c = 5.364 Å
α = 90.00°, β = 90.00°, γ = 90.00°
Space group Pm-3m (No. 221)
Asymmetric unit:
Gd (0.000, 0.000, 0.000) x1
Ho (0.000, 0.500, 0.500) x3
Tc (0.500, 0.500, 0.500) x1

A plane-wave DFT calculation with GGA-PBE was carried out for crystalline Er3Si8Os3 at its relaxed geometry.

Output
DOS(E_F)   0.30 states/eV/atom
Calculated volume   458.4 Å³ per cell
Raw formation energy   -576 meV per atom
Total energy   -197.7 eV/cell

a = 14.951 Å, b = 4.172 Å, c = 8.416 Å
α = 90.00°, β = 119.15°, γ = 90.00°
Space group C2/m (No. 12)
Asymmetric unit:
Er (0.000, 0.000, 0.000) x2
Er (0.205, 0.500, 0.657) x4
Si (0.016, 0.500, 0.700) x4
Si (0.118, 0.000, 0.382) x4
Si (0.138, 0.500, 0.252) x4
Si (0.140, 0.000, 0.840) x4
Os (0.000, 0.000, 0.500) x2
Os (0.174, 0.500, 0.006) x4

A plane-wave DFT calculation with GGA-PBE was carried out for crystalline SrH2Au at its relaxed geometry.

Output
DOS(E_F)   0.24 states/eV/atom
E above lowest polymorph   1.19 eV per formula unit
Calculated volume   245.6 Å³ per cell
Total energy   -48.6 eV/cell

a = 6.262 Å, b = 6.262 Å, c = 6.262 Å
α = 90.00°, β = 90.00°, γ = 90.00°
Space group Fm-3m (No. 225)
Asymmetric unit:
Sr (0.000, 0.000, 0.000) x4
H (0.250, 0.250, 0.250) x8
Au (0.000, 0.000, 0.500) x4

The highest DOS(E_F) belongs to which entry? GdHo3Tc

The lowest total energy belongs to which entry? Er3Si8Os3

Look up the calculated volume of the second one. 578.8 Å³ per cell

DOS(E_F) of number 3 (Y4AsPb)? 0.98 states/eV/atom